# 1
# Pr7Bi2Rh2

A relaxed structure of Pr7Bi2Rh2 (PBE, the Alexandria database).

DOS at the Fermi energy (states/eV/f.u.): 13.77
E_tot (eV/cell): -62.14
Energy relative to the elements (eV per atom): -0.5650

a b c (Å): 4.1211 9.8922 9.8922
angles (deg): 61.10 77.98 77.98
Closest atoms and distances in Å follow each position.
Atoms (fractional coordinates):
Pr  0.1481  0.1108  0.5930  2 Rh 3.05, 2 Bi 3.33
Pr  0.3716  0.7330  0.5239  2 Rh 3.03, 3 Bi 3.32-3.36
Pr  0.8519  0.4070  0.8892  2 Rh 3.05, 2 Bi 3.33
Pr  0.1831  0.7224  0.9114  2 Rh 2.92
Pr  0.8169  0.0886  0.2776  2 Rh 2.92
Pr  0.6284  0.4761  0.2670  2 Rh 3.03, 3 Bi 3.32-3.36
Pr  0.5000  0.0220  0.9780  3 Bi 3.31-3.32
Bi  0.0000  0.7627  0.2373  8 Pr 3.32-3.36
Bi  0.5000  0.3511  0.6489  7 Pr 3.31-3.33
Rh  0.2624  0.3277  0.1476  6 Pr 2.92-3.05
Rh  0.7376  0.8524  0.6723  6 Pr 2.92-3.05

# 2
# TlGaH3

A relaxed structure of TlGaH3 (PBE, the Alexandria database).

Relative energy among the computed polymorphs (eV per formula unit): 1.44
DOS at the Fermi energy (states/eV/f.u.): 0.94
E_tot (eV/cell): -12.55

a b c (Å): 4.1837 4.1837 4.1837
angles (deg): 90.00 90.00 90.00
Closest atoms and distances in Å follow each position.
Atoms (fractional coordinates):
Tl  0.0000  0.0000  0.0000  6 H 2.09
H  0.0000  0.5000  0.0000  2 Tl 2.09
H  0.0000  0.0000  0.5000  2 Tl 2.09
H  0.5000  0.0000  0.0000  2 Tl 2.09
Ga  0.5000  0.5000  0.5000  12 H 2.96

# 3
# MgZr4Tc

A relaxed structure of MgZr4Tc (PBE, the Alexandria database).

Relative energy among the computed polymorphs (eV per formula unit): 3.86
DOS at the Fermi energy (states/eV/f.u.): 8.14
E_tot (eV/cell): -43.09
Energy relative to the elements (eV per atom): 0.5098

a b c (Å): 5.6849 5.6849 5.6849
angles (deg): 60.00 60.00 60.00
Closest atoms and distances in Å follow each position.
Atoms (fractional coordinates):
Mg  0.7500  0.7500  0.7500  12 Zr 3.34, 4 Tc 3.48
Zr  0.3729  0.8813  0.3729  6 Zr 2.79-2.89
Zr  0.3729  0.3729  0.3729  6 Zr 2.79-2.89
Zr  0.8813  0.3729  0.3729  6 Zr 2.79-2.89
Zr  0.3729  0.3729  0.8813  6 Zr 2.79-2.89
Tc  0.0000  0.0000  0.0000  12 Zr 3.33, 4 Mg 3.48

# 4
# NdAl4CuPd2

A relaxed structure of NdAl4CuPd2 (PBE, the Alexandria database).

DOS at the Fermi energy (states/eV/f.u.): 2.87
E_tot (eV/cell): -39.26
Energy relative to the elements (eV per atom): -0.6297

a b c (Å): 4.2680 4.2680 9.2690
angles (deg): 76.69 76.69 60.00
Closest atoms and distances in Å follow each position.
Atoms (fractional coordinates):
Al  0.1330  0.1330  0.6011  3 Cu 2.62, 4 Pd 2.63-2.72
Al  0.8670  0.8670  0.3989  3 Cu 2.62, 4 Pd 2.63-2.72
Al  0.5944  0.5944  0.2167  1 Cu 2.53, 3 Pd 2.57
Al  0.4056  0.4056  0.7833  1 Cu 2.53, 3 Pd 2.57
Cu  0.5000  0.5000  0.5000  8 Al 2.53-2.62
Pd  0.2345  0.2345  0.2966  7 Al 2.57-2.72
Pd  0.7655  0.7655  0.7034  7 Al 2.57-2.72
Nd  0.0000  0.0000  0.0000  6 Al 3.13

# 5
# YThCoCu

A relaxed structure of YThCoCu (PBE, the Alexandria database).

Relative energy among the computed polymorphs (eV per formula unit): 0.60
DOS at the Fermi energy (states/eV/f.u.): 2.54
E_tot (eV/cell): -25.64
Energy relative to the elements (eV per atom): -0.1373

a b c (Å): 4.9127 4.9127 4.9127
angles (deg): 60.00 60.00 60.00
Closest atoms and distances in Å follow each position.
Atoms (fractional coordinates):
Th  0.2500  0.2500  0.2500  4 Co 3.01, 4 Cu 3.01
Y  0.7500  0.7500  0.7500  4 Cu 3.01, 4 Co 3.01
Co  0.0000  0.0000  0.0000  4 Th 3.01, 4 Y 3.01
Cu  0.5000  0.5000  0.5000  4 Y 3.01, 4 Th 3.01

# 6
# Ac2AlVS6

A relaxed structure of Ac2AlVS6 (PBE, the Alexandria database).

DOS at the Fermi energy (states/eV/f.u.): 5.80
E_tot (eV/cell): -122.87

a b c (Å): 6.5841 6.9690 9.4699
angles (deg): 90.00 90.00 90.00
Closest atoms and distances in Å follow each position.
Atoms (fractional coordinates):
S  0.6974  0.3046  0.9601  1 Al 2.44, 1 V 2.52
S  0.5797  0.0019  0.2509  1 Al 2.42, 1 V 2.43
S  0.4203  0.9981  0.7491  1 Al 2.42, 1 V 2.43
S  0.8035  0.8002  0.9594  1 V 2.47, 1 Al 2.49
S  0.3035  0.6998  0.4594  1 V 2.47, 1 Al 2.49
S  0.1965  0.1998  0.0406  1 V 2.47, 1 Al 2.49
S  0.0797  0.4981  0.7509  1 Al 2.42, 1 V 2.43
S  0.1974  0.1954  0.4601  1 Al 2.44, 1 V 2.52
S  0.6965  0.3002  0.5406  1 V 2.47, 1 Al 2.49
S  0.3026  0.6954  0.0399  1 Al 2.44, 1 V 2.52
S  0.8026  0.8046  0.5399  1 Al 2.44, 1 V 2.52
S  0.9203  0.5019  0.2491  1 Al 2.42, 1 V 2.43
V  0.5000  0.0000  0.0000  6 S 2.43-2.52
V  0.0000  0.5000  0.5000  6 S 2.43-2.52
Ac  0.9761  0.0814  0.7513  8 S 2.98-3.22
Ac  0.4761  0.4186  0.2513  8 S 2.98-3.22
Ac  0.5239  0.5814  0.7487  8 S 2.98-3.22
Ac  0.0239  0.9186  0.2487  8 S 2.98-3.22
Al  0.5000  0.0000  0.5000  6 S 2.42-2.49
Al  0.0000  0.5000  0.0000  6 S 2.42-2.49

# 7
# DySc2Au

A relaxed structure of DySc2Au (PBE, the Alexandria database).

Relative energy among the computed polymorphs (eV per formula unit): 0.28
DOS at the Fermi energy (states/eV/f.u.): 5.91
E_tot (eV/cell): -21.99
Energy relative to the elements (eV per atom): -0.3625

a b c (Å): 3.4743 3.4743 7.8848
angles (deg): 90.00 90.00 90.00
Closest atoms and distances in Å follow each position.
Atoms (fractional coordinates):
Au  0.5000  0.5000  0.0000  8 Sc 2.94
Sc  0.0000  0.0000  0.2044  4 Au 2.94, 1 Sc 3.22
Sc  0.0000  0.0000  0.7956  4 Au 2.94, 1 Sc 3.22
Dy  0.5000  0.5000  0.5000  8 Sc 3.39, 4 Dy 3.47

# 8
# BeTlNi2

A relaxed structure of BeTlNi2 (PBE, the Alexandria database).

Relative energy among the computed polymorphs (eV per formula unit): 0.03
DOS at the Fermi energy (states/eV/f.u.): 2.60
E_tot (eV/cell): -17.25
Energy relative to the elements (eV per atom): 0.1011

a b c (Å): 2.8131 2.8805 7.0969
angles (deg): 65.47 90.00 90.00
Closest atoms and distances in Å follow each position.
Atoms (fractional coordinates):
Be  0.5000  0.7500  0.7500  8 Ni 2.35-2.36
Ni  0.0000  0.0542  0.9394  4 Be 2.35-2.36, 1 Ni 2.45
Ni  0.0000  0.4458  0.5606  4 Be 2.35-2.36, 1 Ni 2.45
Tl  0.5000  0.2500  0.2500  4 Tl 2.81-2.88, 8 Ni 2.82-2.86